1.
# BaSiSnAu2

BaSiSnAu2 after structural relaxation (PBE, the Open Quantum Materials Database).

Summary:
VASP energy	-4.109	eV per atom

Cell lengths 4.6724, 4.6724, 11.1207 Å; angles 90.00, 90.00, 90.00 degrees
With the nearest neighbours (Å) after each atom.
Sites, in units of the cell vectors:
Au: 0.0000 0.0000 0.0000  4 Si 2.65
Au: 0.5000 0.5000 0.0000  4 Si 2.65
Au: 0.5000 0.0000 0.3380  1 Si 2.51
Au: 0.0000 0.5000 0.6620  1 Si 2.51
Ba: 0.0000 0.5000 0.2338  8 Au 3.50, 5 Si 3.57-3.85, 4 Sn 3.77
Ba: 0.5000 0.0000 0.7662  8 Au 3.50, 5 Si 3.57-3.85, 4 Sn 3.77
Si: 0.5000 0.0000 0.1126  5 Au 2.51-2.65
Si: 0.0000 0.5000 0.8874  5 Au 2.51-2.65
Sn: 0.0000 0.0000 0.5000  4 Au 2.95, 4 Sn 3.30
Sn: 0.5000 0.5000 0.5000  4 Au 2.95, 4 Sn 3.30



2.
# NbCuNiPb

NbCuNiPb after structural relaxation (PBE, the Open Quantum Materials Database).

Summary:
total magnetic moment	0.00	μB per formula unit
VASP energy	-5.476	eV per atom
polymorph energy (0 for the lowest one)	0.0000	eV/atom

Cell lengths 4.4953, 4.4953, 4.4953 Å; angles 60.00, 60.00, 60.00 degrees
With the nearest neighbours (Å) after each atom.
Sites, in units of the cell vectors:
Cu: 0.7500 0.7500 0.7500  4 Nb 2.75, 4 Pb 2.75
Nb: 0.5000 0.5000 0.5000  4 Ni 2.75, 4 Cu 2.75
Ni: 0.2500 0.2500 0.2500  4 Nb 2.75, 4 Pb 2.75
Pb: 0.0000 0.0000 0.0000  4 Ni 2.75, 4 Cu 2.75



3.
# Pr3TlCd2PdAu2

Pr3TlCd2PdAu2 after structural relaxation (PBE, the Open Quantum Materials Database).

Summary:
total magnetic moment	0.00	μB per formula unit
VASP energy	-4.000	eV per atom

Cell lengths 4.0334, 7.9859, 7.9859 Å; angles 120.14, 90.00, 90.00 degrees
With the nearest neighbours (Å) after each atom.
Sites, in units of the cell vectors:
Au: 0.0000 0.6724 0.3343  2 Cd 3.01-3.02, 1 Tl 3.09, 6 Pr 3.12-3.18
Au: 0.0000 0.3343 0.6724  2 Cd 3.01-3.02, 1 Tl 3.09, 6 Pr 3.12-3.18
Cd: 0.0000 0.9990 0.7476  2 Pd 2.83, 2 Au 3.01-3.02
Cd: 0.0000 0.7476 0.9990  2 Pd 2.83, 2 Au 3.01-3.02
Pd: 0.5000 0.9950 0.9950  4 Cd 2.83, 2 Tl 2.86, 1 Pr 3.17
Pr: 0.5000 0.9997 0.4049  4 Au 3.12-3.17, 1 Pd 3.25, 4 Cd 3.40-3.47, 2 Tl 3.47
Pr: 0.5000 0.5977 0.5977  1 Pd 3.17, 4 Au 3.18, 2 Tl 3.43, 4 Cd 3.45
Pr: 0.5000 0.4049 0.9997  4 Au 3.12-3.17, 1 Pd 3.25, 4 Cd 3.40-3.47, 2 Tl 3.47
Tl: 0.0000 0.2493 0.2493  2 Pd 2.86, 2 Au 3.09



4.
# GaSiW4C2

GaSiW4C2 after structural relaxation (PBE, the Open Quantum Materials Database).

Summary:
total magnetic moment	0.00	μB per formula unit
VASP energy	-9.759	eV per atom

Cell lengths 3.1005, 3.1005, 12.7718 Å; angles 90.00, 90.00, 120.00 degrees
With the nearest neighbours (Å) after each atom.
Sites, in units of the cell vectors:
C: 0.3333 0.6667 0.2569  6 W 2.12-2.16
C: 0.3333 0.6667 0.7431  6 W 2.12-2.16
Ga: 0.6667 0.3333 0.0000  6 W 2.79, 6 Ga 3.10
Si: 0.0000 0.0000 0.5000  6 W 2.61
W: 0.0000 0.0000 0.1677  3 C 2.12
W: 0.6667 0.3333 0.3511  3 C 2.16
W: 0.6667 0.3333 0.6489  3 C 2.16
W: 0.0000 0.0000 0.8323  3 C 2.12



5.
# Cd4SF6

Cd4SF6 after structural relaxation (PBE, the Open Quantum Materials Database).

Summary:
VASP energy	-3.580	eV per atom

Cell lengths 7.8125, 7.8125, 7.8125 Å; angles 60.00, 60.00, 60.00 degrees
With the nearest neighbours (Å) after each atom.
Sites, in units of the cell vectors:
Cd: 0.6250 0.6250 0.1250  6 F 2.21
Cd: 0.1250 0.1250 0.1250  2 S 2.39, 6 F 2.60
Cd: 0.6250 0.1250 0.1250  2 S 2.39, 6 F 2.60
Cd: 0.1250 0.6250 0.1250  2 S 2.39, 6 F 2.60
Cd: 0.6250 0.1250 0.6250  6 F 2.21
Cd: 0.1250 0.1250 0.6250  2 S 2.39, 6 F 2.60
Cd: 0.1250 0.6250 0.6250  6 F 2.21
Cd: 0.6250 0.6250 0.6250  6 F 2.21
F: 0.2806 0.7194 0.2806  2 Cd 2.21
F: 0.7194 0.2806 0.2806  2 Cd 2.21
F: 0.7194 0.7194 0.2806  2 Cd 2.21
F: 0.9694 0.5306 0.5306  2 Cd 2.21
F: 0.5306 0.9694 0.5306  2 Cd 2.21
F: 0.9694 0.9694 0.5306  2 Cd 2.21
F: 0.2806 0.7194 0.7194  2 Cd 2.21
F: 0.7194 0.2806 0.7194  2 Cd 2.21
F: 0.2806 0.2806 0.7194  2 Cd 2.21
F: 0.5306 0.5306 0.9694  2 Cd 2.21
F: 0.9694 0.5306 0.9694  2 Cd 2.21
F: 0.5306 0.9694 0.9694  2 Cd 2.21
S: 0.0000 0.0000 0.0000  4 Cd 2.39
S: 0.2500 0.2500 0.2500  4 Cd 2.39



6.
# NaZrTcMo

NaZrTcMo after structural relaxation (PBE, the Open Quantum Materials Database).

Summary:
total magnetic moment	0.00	μB per formula unit
VASP energy	-7.224	eV per atom
polymorph energy (0 for the lowest one)	0.0000	eV/atom

Cell lengths 4.6299, 4.6299, 4.6299 Å; angles 60.00, 60.00, 60.00 degrees
With the nearest neighbours (Å) after each atom.
Sites, in units of the cell vectors:
Mo: 0.5000 0.5000 0.5000  4 Na 2.84, 4 Tc 2.84
Na: 0.7500 0.7500 0.7500  4 Zr 2.84, 4 Mo 2.84
Tc: 0.2500 0.2500 0.2500  4 Zr 2.84, 4 Mo 2.84
Zr: 0.0000 0.0000 0.0000  4 Tc 2.84, 4 Na 2.84



7.
# PmTaSb

PmTaSb after structural relaxation (PBE, the Open Quantum Materials Database).

Summary:
total magnetic moment	3.20	μB per formula unit
VASP energy	-5.981	eV per atom
polymorph energy (0 for the lowest one)	0.6724	eV/atom

Cell lengths 5.0812, 5.0812, 5.0812 Å; angles 60.00, 60.00, 60.00 degrees
With the nearest neighbours (Å) after each atom.
Sites, in units of the cell vectors:
Pm: 0.0000 0.0000 0.0000  4 Ta 3.11, 4 Sb 3.11
Sb: 0.2500 0.2500 0.2500  4 Pm 3.11
Ta: 0.7500 0.7500 0.7500  4 Pm 3.11



8.
# LaNbGe

LaNbGe after structural relaxation (PBE, the Open Quantum Materials Database).

Summary:
total magnetic moment	0.07	μB per formula unit
VASP energy	-6.199	eV per atom

Cell lengths 4.6380, 4.6380, 4.6380 Å; angles 60.00, 60.00, 60.00 degrees
With the nearest neighbours (Å) after each atom.
Sites, in units of the cell vectors:
Ge: 0.2500 0.2500 0.2500  4 Nb 2.84
La: 0.7500 0.7500 0.7500  4 Nb 2.84
Nb: 0.0000 0.0000 0.0000  4 La 2.84, 4 Ge 2.84



9.
# DyY2Tl2Zn3Cd

DyY2Tl2Zn3Cd after structural relaxation (PBE, the Open Quantum Materials Database).

Summary:
total magnetic moment	0.00	μB per formula unit
VASP energy	-3.311	eV per atom

Cell lengths 4.5137, 7.2712, 7.2712 Å; angles 119.95, 90.00, 90.00 degrees
With the nearest neighbours (Å) after each atom.
Sites, in units of the cell vectors:
Cd: 0.0000 0.0005 0.0005  6 Zn 2.82, 1 Dy 3.11, 2 Y 3.11
Dy: 0.0000 0.4277 0.4277  1 Cd 3.11, 4 Tl 3.12, 2 Zn 3.35
Tl: 0.5000 0.6663 0.3334  3 Zn 2.86-2.87, 2 Dy 3.12, 4 Y 3.13
Tl: 0.5000 0.3334 0.6663  3 Zn 2.86-2.87, 2 Dy 3.12, 4 Y 3.13
Y: 0.0000 0.9998 0.5721  1 Cd 3.11, 4 Tl 3.13, 2 Zn 3.35
Y: 0.0000 0.5721 0.9998  1 Cd 3.11, 4 Tl 3.13, 2 Zn 3.35
Zn: 0.5000 0.2322 0.0000  2 Cd 2.82, 2 Tl 2.86-2.87, 2 Zn 2.92-2.93
Zn: 0.5000 0.0000 0.2322  2 Cd 2.82, 2 Tl 2.86-2.87, 2 Zn 2.92-2.93
Zn: 0.5000 0.7677 0.7677  2 Cd 2.82, 2 Tl 2.86, 2 Zn 2.93



10.
# LiZn3N

LiZn3N after structural relaxation (PBE, the Open Quantum Materials Database).

Summary:
VASP energy	-2.428	eV per atom

Cell lengths 4.1731, 4.1731, 4.1731 Å; angles 90.00, 90.00, 90.00 degrees
With the nearest neighbours (Å) after each atom.
Sites, in units of the cell vectors:
Li: 0.0000 0.0000 0.0000  12 Zn 2.95
N: 0.5000 0.5000 0.5000  6 Zn 2.09
Zn: 0.5000 0.5000 0.0000  2 N 2.09
Zn: 0.5000 0.0000 0.5000  2 N 2.09
Zn: 0.0000 0.5000 0.5000  2 N 2.09



11.
# Li2Pd2O3

Li2Pd2O3 after structural relaxation (PBE, the Open Quantum Materials Database).

Summary:
VASP energy	-4.875	eV per atom
polymorph energy (0 for the lowest one)	0.0000	eV/atom

Cell lengths 5.7813, 5.7813, 5.7813 Å; angles 109.47, 109.47, 109.47 degrees
With the nearest neighbours (Å) after each atom.
Sites, in units of the cell vectors:
Li: 0.4169 0.5000 0.0000  3 O 2.05
Li: 0.0831 0.0831 0.0831  3 O 2.05
Li: 0.5000 0.0000 0.4169  3 O 2.05
Li: 0.0000 0.4169 0.5000  3 O 2.05
O: 0.7500 0.8766 0.1266  2 Li 2.05, 2 Pd 2.11
O: 0.6234 0.3734 0.2500  2 Li 2.05, 2 Pd 2.11
O: 0.2500 0.6234 0.3734  2 Li 2.05, 2 Pd 2.11
O: 0.3734 0.2500 0.6234  2 Li 2.05, 2 Pd 2.11
O: 0.8766 0.1266 0.7500  2 Li 2.05, 2 Pd 2.11
O: 0.1266 0.7500 0.8766  2 Li 2.05, 2 Pd 2.11
Pd: 0.8941 0.5000 0.0000  3 O 2.11
Pd: 0.0000 0.8941 0.5000  3 O 2.11
Pd: 0.6059 0.6059 0.6059  3 O 2.11
Pd: 0.5000 0.0000 0.8941  3 O 2.11



12.
# CdOsAu2

CdOsAu2 after structural relaxation (PBE, the Open Quantum Materials Database).

Summary:
total magnetic moment	0.94	μB per formula unit
VASP energy	-4.040	eV per atom

Cell lengths 4.6342, 4.6342, 4.6342 Å; angles 60.00, 60.00, 60.00 degrees
With the nearest neighbours (Å) after each atom.
Sites, in units of the cell vectors:
Au: 0.2500 0.2500 0.2500  4 Au 2.84, 4 Os 2.84
Au: 0.5000 0.5000 0.5000  4 Au 2.84, 4 Cd 2.84
Cd: 0.7500 0.7500 0.7500  4 Os 2.84, 4 Au 2.84
Os: 0.0000 0.0000 0.0000  4 Au 2.84, 4 Cd 2.84



Q: Number 8 is which compound?
A: LaNbGe



Q: Which of these has the highest VASP energy?
A: LiZn3N



What did the ninth record say?
# DyY2Tl2Zn3Cd

DyY2Tl2Zn3Cd after structural relaxation (PBE, the Open Quantum Materials Database).

Summary:
total magnetic moment	0.00	μB per formula unit
VASP energy	-3.311	eV per atom

Cell lengths 4.5137, 7.2712, 7.2712 Å; angles 119.95, 90.00, 90.00 degrees
With the nearest neighbours (Å) after each atom.
Sites, in units of the cell vectors:
Cd: 0.0000 0.0005 0.0005  6 Zn 2.82, 1 Dy 3.11, 2 Y 3.11
Dy: 0.0000 0.4277 0.4277  1 Cd 3.11, 4 Tl 3.12, 2 Zn 3.35
Tl: 0.5000 0.6663 0.3334  3 Zn 2.86-2.87, 2 Dy 3.12, 4 Y 3.13
Tl: 0.5000 0.3334 0.6663  3 Zn 2.86-2.87, 2 Dy 3.12, 4 Y 3.13
Y: 0.0000 0.9998 0.5721  1 Cd 3.11, 4 Tl 3.13, 2 Zn 3.35
Y: 0.0000 0.5721 0.9998  1 Cd 3.11, 4 Tl 3.13, 2 Zn 3.35
Zn: 0.5000 0.2322 0.0000  2 Cd 2.82, 2 Tl 2.86-2.87, 2 Zn 2.92-2.93
Zn: 0.5000 0.0000 0.2322  2 Cd 2.82, 2 Tl 2.86-2.87, 2 Zn 2.92-2.93
Zn: 0.5000 0.7677 0.7677  2 Cd 2.82, 2 Tl 2.86, 2 Zn 2.93



Q: Which value of VASP energy does entry 6 give?
A: -7.224 eV per atom